This record from the Alexandria database describes V4As2O13 after structural relaxation. The functional is PBEsol.

Fermi-level density of states: 0.23 states/eV per atom
ΔE_f (raw): -36.0 eV per formula unit
theoretical density: 4.51 g/cm³

Unit cell a=4.9161 b=4.9461 c=8.7644 alpha=79.66 beta=89.86 gamma=80.68
With the nearest neighbours (Å) after each atom.
Space group P1 (No. 1)
One atom of each set of equivalent atoms:
V 0.0000 0.0000 0.0000 [1 per cell]  2 O 1.71
V 0.2045 0.1844 0.6806 [1 per cell]  3 O 1.70-1.90
V 0.4365 0.3366 0.0749 [1 per cell]  5 O 1.82-1.99
V 0.6932 0.4670 0.4272 [1 per cell]  3 O 1.73-1.89
As 0.1521 0.9188 0.3604 [1 per cell]  4 O 1.68-1.77
As 0.7241 0.6895 0.7706 [1 per cell]  4 O 1.70-1.74
O 0.0020 0.6456 0.3388 [1 per cell]  1 As 1.68
O 0.1444 0.1367 0.1766 [1 per cell]  1 As 1.77, 1 V 1.97
O 0.2016 0.6795 0.0385 [1 per cell]  2 V 1.71-1.87
O 0.2466 0.2260 0.8835 [1 per cell]  2 V 1.84-1.95
O 0.3907 0.8110 0.7129 [1 per cell]  1 As 1.70, 1 V 1.90
O 0.4480 0.3241 0.5678 [1 per cell]  2 V 1.70-1.85
O 0.4944 0.8334 0.4070 [1 per cell]  1 As 1.70, 1 V 1.89
O 0.5777 0.3879 0.2574 [1 per cell]  2 V 1.73-1.82
O 0.6840 0.9926 0.0817 [1 per cell]  2 V 1.71-1.92
O 0.7324 0.4582 0.9413 [1 per cell]  1 As 1.71
O 0.8823 0.9714 0.7931 [1 per cell]  1 As 1.74, 1 V 1.94
O 0.8992 0.5214 0.6350 [1 per cell]  1 As 1.72
O 0.9941 0.1198 0.4897 [1 per cell]  1 As 1.74